No. 1
An optimized crystal structure of LaNiF2. Source: Alexandria, functional PBE with a Hubbard U.

Summary:
* energy relative to the lowest polymorph listed for this composition: 0.321 eV/atom
* volume: 228.6 Å³ per cell

```
data_LaNiF2
_chemical_formula_sum 'La4 Ni4 F8'
_cell_length_a 6.1144
_cell_length_b 6.1144
_cell_length_c 6.1144
_cell_angle_alpha 90.00
_cell_angle_beta 90.00
_cell_angle_gamma 90.00
_space_group_name_H-M_alt 'F m -3 m'
_space_group_IT_number 225
_space_group_name_Hall '-F 4 2 3'
loop_
_atom_site_label
_atom_site_fract_x
_atom_site_fract_y
_atom_site_fract_z
La1 0.0000 0.0000 0.0000
Ni1 0.0000 0.0000 0.5000
F1 0.2500 0.2500 0.2500
```

=====

No. 2
An optimized crystal structure of LaNi3F. Source: Alexandria, functional PBE with a Hubbard U.

Summary:
* energy relative to the lowest polymorph listed for this composition: 1.421 eV/atom
* volume: 101.7 Å³ per cell

```
data_LaNi3F
_chemical_formula_sum 'La1 Ni3 F1'
_cell_length_a 4.6681
_cell_length_b 4.6681
_cell_length_c 4.6681
_cell_angle_alpha 90.00
_cell_angle_beta 90.00
_cell_angle_gamma 90.00
_space_group_name_H-M_alt 'P m -3 m'
_space_group_IT_number 221
_space_group_name_Hall '-P 4 2 3'
loop_
_atom_site_label
_atom_site_fract_x
_atom_site_fract_y
_atom_site_fract_z
La1 0.0000 0.0000 0.0000
Ni1 0.0000 0.0000 0.5000
F1 0.5000 0.5000 0.5000
```

=====

No. 3
An optimized crystal structure of La3NiF. Source: Alexandria, functional PBE with a Hubbard U.

Summary:
* volume: 163.6 Å³ per cell
* calculated total energy: -0.288 Ry per atom

```
data_La3NiF
_chemical_formula_sum 'La3 Ni1 F1'
_cell_length_a 5.4698
_cell_length_b 5.4698
_cell_length_c 5.4698
_cell_angle_alpha 90.00
_cell_angle_beta 90.00
_cell_angle_gamma 90.00
_space_group_name_H-M_alt 'P m -3 m'
_space_group_IT_number 221
_space_group_name_Hall '-P 4 2 3'
loop_
_atom_site_label
_atom_site_fract_x
_atom_site_fract_y
_atom_site_fract_z
La1 0.0000 0.0000 0.5000
Ni1 0.0000 0.0000 0.0000
F1 0.5000 0.5000 0.5000
```

=====

No. 4
An optimized crystal structure of La3Ni5F12. Source: Alexandria, functional PBE with a Hubbard U.

Summary:
* volume: 2458.6 Å³ per cell
* calculated total energy: -0.339 Ry per atom

```
data_La3Ni5F12
_chemical_formula_sum 'La24 Ni40 F96'
_cell_length_a 13.4968
_cell_length_b 13.4968
_cell_length_c 13.4968
_cell_angle_alpha 90.00
_cell_angle_beta 90.00
_cell_angle_gamma 90.00
_space_group_name_H-M_alt 'I a -3 d'
_space_group_IT_number 230
_space_group_name_Hall '-I 4bd 2c 3'
loop_
_atom_site_label
_atom_site_fract_x
_atom_site_fract_y
_atom_site_fract_z
La1 0.0000 0.2500 0.1250
Ni1 0.0000 0.0000 0.0000
Ni2 0.0000 0.2500 0.3750
F1 0.0142 0.0678 0.6425
```

=====

No. 5
An optimized crystal structure of La2NiF. Source: Alexandria, functional PBE with a Hubbard U.

Summary:
* energy relative to the lowest polymorph listed for this composition: 0.000 eV/atom
* volume: 423.1 Å³ per cell

```
data_La2NiF
_chemical_formula_sum 'La8 Ni4 F4'
_cell_length_a 5.8005
_cell_length_b 5.8005
_cell_length_c 12.5761
_cell_angle_alpha 90.00
_cell_angle_beta 90.00
_cell_angle_gamma 90.00
_space_group_name_H-M_alt 'I -4 2 d'
_space_group_IT_number 122
_space_group_name_Hall 'I -4 2bw'
loop_
_atom_site_label
_atom_site_fract_x
_atom_site_fract_y
_atom_site_fract_z
La1 0.2278 0.2500 0.1250
Ni1 0.0000 0.0000 0.5000
F1 0.0000 0.0000 0.0000
```

=====

No. 6
An optimized crystal structure of La2NiF. Source: Alexandria, functional PBE with a Hubbard U.

Summary:
* energy relative to the lowest polymorph listed for this composition: 0.384 eV/atom
* volume: 255.0 Å³ per cell

```
data_La2NiF
_chemical_formula_sum 'La6 Ni3 F3'
_cell_length_a 3.3214
_cell_length_b 3.3214
_cell_length_c 26.6925
_cell_angle_alpha 90.00
_cell_angle_beta 90.00
_cell_angle_gamma 120.00
_space_group_name_H-M_alt 'R -3 m'
_space_group_IT_number 166
_space_group_name_Hall '-R 3 2"'
loop_
_atom_site_label
_atom_site_fract_x
_atom_site_fract_y
_atom_site_fract_z
La1 0.0000 0.0000 0.0914
Ni1 0.0000 0.0000 0.0000
F1 0.0000 0.0000 0.5000
```

=====

No. 7
An optimized crystal structure of LaNiF2. Source: Alexandria, functional PBE with a Hubbard U.

Summary:
* energy relative to the lowest polymorph listed for this composition: 0.000 eV/atom
* volume: 335.9 Å³ per cell

```
data_LaNiF2
_chemical_formula_sum 'La4 Ni4 F8'
_cell_length_a 4.6502
_cell_length_b 4.6502
_cell_length_c 15.5316
_cell_angle_alpha 90.00
_cell_angle_beta 90.00
_cell_angle_gamma 90.00
_space_group_name_H-M_alt 'I -4 2 d'
_space_group_IT_number 122
_space_group_name_Hall 'I -4 2bw'
loop_
_atom_site_label
_atom_site_fract_x
_atom_site_fract_y
_atom_site_fract_z
La1 0.0000 0.0000 0.0000
Ni1 0.0000 0.0000 0.5000
F1 0.1367 0.2500 0.1250
```

=====

No. 8
An optimized crystal structure of LaNiF2. Source: Alexandria, functional PBE with a Hubbard U.

Summary:
* energy relative to the lowest polymorph listed for this composition: 0.740 eV/atom
* volume: 229.5 Å³ per cell

```
data_LaNiF2
_chemical_formula_sum 'La3 Ni3 F6'
_cell_length_a 3.8400
_cell_length_b 3.8400
_cell_length_c 17.9736
_cell_angle_alpha 90.00
_cell_angle_beta 90.00
_cell_angle_gamma 120.00
_space_group_name_H-M_alt 'R -3 m'
_space_group_IT_number 166
_space_group_name_Hall '-R 3 2"'
loop_
_atom_site_label
_atom_site_fract_x
_atom_site_fract_y
_atom_site_fract_z
La1 0.0000 0.0000 0.0000
Ni1 0.0000 0.0000 0.5000
F1 0.0000 0.0000 0.1272
```

=====

No. 9
An optimized crystal structure of LaNiF2. Source: Alexandria, functional PBE with a Hubbard U.

Summary:
* energy relative to the lowest polymorph listed for this composition: 0.193 eV/atom
* volume: 224.3 Å³ per cell

```
data_LaNiF2
_chemical_formula_sum 'La3 Ni3 F6'
_cell_length_a 3.3762
_cell_length_b 3.3762
_cell_length_c 22.7180
_cell_angle_alpha 90.00
_cell_angle_beta 90.00
_cell_angle_gamma 120.00
_space_group_name_H-M_alt 'R -3 m'
_space_group_IT_number 166
_space_group_name_Hall '-R 3 2"'
loop_
_atom_site_label
_atom_site_fract_x
_atom_site_fract_y
_atom_site_fract_z
La1 0.0000 0.0000 0.0000
Ni1 0.0000 0.0000 0.5000
F1 0.0000 0.0000 0.4037
```

=====

No. 10
An optimized crystal structure of LaNi2F2. Source: Alexandria, functional PBE with a Hubbard U.

Summary:
* energy relative to the lowest polymorph listed for this composition: 0.311 eV/atom
* volume: 157.5 Å³ per cell

```
data_LaNi2F2
_chemical_formula_sum 'La2 Ni4 F4'
_cell_length_a 6.2850
_cell_length_b 6.2850
_cell_length_c 3.9869
_cell_angle_alpha 90.00
_cell_angle_beta 90.00
_cell_angle_gamma 90.00
_space_group_name_H-M_alt 'P 4/m b m'
_space_group_IT_number 127
_space_group_name_Hall '-P 4 2ab'
loop_
_atom_site_label
_atom_site_fract_x
_atom_site_fract_y
_atom_site_fract_z
La1 0.0000 0.0000 0.0000
Ni1 0.1323 0.3677 0.0000
F1 0.2054 0.2946 0.5000
```

=====

No. 11
An optimized crystal structure of LaNiF3. Source: Alexandria, functional PBE with a Hubbard U.

Summary:
* volume: 106.4 Å³ per cell
* calculated total energy: -0.376 Ry per atom

```
data_LaNiF3
_chemical_formula_sum 'La1 Ni1 F3'
_cell_length_a 4.7383
_cell_length_b 4.7383
_cell_length_c 4.7383
_cell_angle_alpha 90.00
_cell_angle_beta 90.00
_cell_angle_gamma 90.00
_space_group_name_H-M_alt 'P m -3 m'
_space_group_IT_number 221
_space_group_name_Hall '-P 4 2 3'
loop_
_atom_site_label
_atom_site_fract_x
_atom_site_fract_y
_atom_site_fract_z
La1 0.0000 0.0000 0.0000
Ni1 0.5000 0.5000 0.5000
F1 0.0000 0.0000 0.5000
```

=====

No. 12
An optimized crystal structure of La2NiF. Source: Alexandria, functional PBE with a Hubbard U.

Summary:
* energy relative to the lowest polymorph listed for this composition: 0.235 eV/atom
* volume: 330.2 Å³ per cell

```
data_La2NiF
_chemical_formula_sum 'La8 Ni4 F4'
_cell_length_a 6.9120
_cell_length_b 6.9120
_cell_length_c 6.9120
_cell_angle_alpha 90.00
_cell_angle_beta 90.00
_cell_angle_gamma 90.00
_space_group_name_H-M_alt 'F m -3 m'
_space_group_IT_number 225
_space_group_name_Hall '-F 4 2 3'
loop_
_atom_site_label
_atom_site_fract_x
_atom_site_fract_y
_atom_site_fract_z
La1 0.2500 0.2500 0.2500
Ni1 0.0000 0.0000 0.0000
F1 0.0000 0.0000 0.5000
```

=====

No. 13
An optimized crystal structure of LaNi2F2. Source: Alexandria, functional PBE with a Hubbard U.

Summary:
* energy relative to the lowest polymorph listed for this composition: 0.000 eV/atom
* volume: 150.6 Å³ per cell

```
data_LaNi2F2
_chemical_formula_sum 'La2 Ni4 F4'
_cell_length_a 4.0617
_cell_length_b 4.0617
_cell_length_c 9.1292
_cell_angle_alpha 90.00
_cell_angle_beta 90.00
_cell_angle_gamma 90.00
_space_group_name_H-M_alt 'I 4/m m m'
_space_group_IT_number 139
_space_group_name_Hall '-I 4 2'
loop_
_atom_site_label
_atom_site_fract_x
_atom_site_fract_y
_atom_site_fract_z
La1 0.0000 0.0000 0.0000
Ni1 0.0000 0.0000 0.3817
F1 0.0000 0.5000 0.2500
```

=====

No. 14
An optimized crystal structure of LaNi3F. Source: Alexandria, functional PBE with a Hubbard U.

Summary:
* energy relative to the lowest polymorph listed for this composition: 0.000 eV/atom
* volume: 87.6 Å³ per cell

```
data_LaNi3F
_chemical_formula_sum 'La1 Ni3 F1'
_cell_length_a 4.4407
_cell_length_b 4.4407
_cell_length_c 4.4407
_cell_angle_alpha 90.00
_cell_angle_beta 90.00
_cell_angle_gamma 90.00
_space_group_name_H-M_alt 'P m -3 m'
_space_group_IT_number 221
_space_group_name_Hall '-P 4 2 3'
loop_
_atom_site_label
_atom_site_fract_x
_atom_site_fract_y
_atom_site_fract_z
La1 0.0000 0.0000 0.0000
Ni1 0.0000 0.5000 0.5000
F1 0.5000 0.5000 0.5000
```

=====

No. 15
An optimized crystal structure of LaNi2F. Source: Alexandria, functional PBE with a Hubbard U.

Summary:
* volume: 251.7 Å³ per cell
* calculated total energy: -0.196 Ry per atom

```
data_LaNi2F
_chemical_formula_sum 'La4 Ni8 F4'
_cell_length_a 6.3135
_cell_length_b 6.3135
_cell_length_c 6.3135
_cell_angle_alpha 90.00
_cell_angle_beta 90.00
_cell_angle_gamma 90.00
_space_group_name_H-M_alt 'F m -3 m'
_space_group_IT_number 225
_space_group_name_Hall '-F 4 2 3'
loop_
_atom_site_label
_atom_site_fract_x
_atom_site_fract_y
_atom_site_fract_z
La1 0.0000 0.0000 0.0000
Ni1 0.2500 0.2500 0.2500
F1 0.0000 0.0000 0.5000
```

=====

No. 16
An optimized crystal structure of LaNiOF2. Source: Alexandria, functional PBE with a Hubbard U.

Summary:
* energy relative to the lowest polymorph listed for this composition: 0.000 eV/atom
* volume: 65.5 Å³ per cell

```
data_LaNiOF2
_chemical_formula_sum 'La1 Ni1 O1 F2'
_cell_length_a 3.9875
_cell_length_b 3.9875
_cell_length_c 4.1167
_cell_angle_alpha 90.00
_cell_angle_beta 90.00
_cell_angle_gamma 90.00
_space_group_name_H-M_alt 'P 4/m m m'
_space_group_IT_number 123
_space_group_name_Hall '-P 4 2'
loop_
_atom_site_label
_atom_site_fract_x
_atom_site_fract_y
_atom_site_fract_z
La1 0.0000 0.0000 0.0000
Ni1 0.5000 0.5000 0.5000
O1 0.5000 0.5000 0.0000
F1 0.0000 0.5000 0.5000
```

=====

No. 17
An optimized crystal structure of LaNiOF2. Source: Alexandria, functional PBE with a Hubbard U.

Summary:
* energy relative to the lowest polymorph listed for this composition: 0.119 eV/atom
* volume: 100.8 Å³ per cell

```
data_LaNiOF2
_chemical_formula_sum 'La1 Ni1 O1 F2'
_cell_length_a 4.6916
_cell_length_b 4.6916
_cell_length_c 4.5814
_cell_angle_alpha 90.00
_cell_angle_beta 90.00
_cell_angle_gamma 90.00
_space_group_name_H-M_alt 'P 4/m m m'
_space_group_IT_number 123
_space_group_name_Hall '-P 4 2'
loop_
_atom_site_label
_atom_site_fract_x
_atom_site_fract_y
_atom_site_fract_z
La1 0.0000 0.0000 0.0000
Ni1 0.5000 0.5000 0.5000
O1 0.0000 0.0000 0.5000
F1 0.0000 0.5000 0.0000
```

=====

No. 18
An optimized crystal structure of LaNi2PbF. Source: Alexandria, functional PBE with a Hubbard U.

Summary:
* volume: 107.8 Å³ per cell
* calculated total energy: -0.240 Ry per atom

```
data_LaNi2PbF
_chemical_formula_sum 'La1 Ni2 Pb1 F1'
_cell_length_a 4.6198
_cell_length_b 4.6198
_cell_length_c 5.0497
_cell_angle_alpha 90.00
_cell_angle_beta 90.00
_cell_angle_gamma 90.00
_space_group_name_H-M_alt 'P 4/m m m'
_space_group_IT_number 123
_space_group_name_Hall '-P 4 2'
loop_
_atom_site_label
_atom_site_fract_x
_atom_site_fract_y
_atom_site_fract_z
La1 0.0000 0.0000 0.0000
Ni1 0.0000 0.5000 0.5000
Pb1 0.5000 0.5000 0.0000
F1 0.5000 0.5000 0.5000
```

=====

No. 19
An optimized crystal structure of RbLaNiF6. Source: Alexandria, functional PBE with a Hubbard U.

Summary:
* volume: 350.1 Å³ per cell
* calculated total energy: -0.393 Ry per atom

```
data_RbLaNiF6
_chemical_formula_sum 'Rb2 La2 Ni2 F12'
_cell_length_a 5.9670
_cell_length_b 5.9670
_cell_length_c 11.3553
_cell_angle_alpha 90.00
_cell_angle_beta 90.00
_cell_angle_gamma 120.00
_space_group_name_H-M_alt 'P -3 1 c'
_space_group_IT_number 163
_space_group_name_Hall '-P 3 2c'
loop_
_atom_site_label
_atom_site_fract_x
_atom_site_fract_y
_atom_site_fract_z
Rb1 0.0000 0.0000 0.0000
La1 0.3333 0.6667 0.2500
Ni1 0.3333 0.6667 0.7500
F1 0.0365 0.3944 0.6500
```

=====

No. 20
An optimized crystal structure of LaSiNiF2. Source: Alexandria, functional PBE with a Hubbard U.

Summary:
* volume: 99.3 Å³ per cell
* calculated total energy: -0.294 Ry per atom

```
data_LaSiNiF2
_chemical_formula_sum 'La1 Si1 Ni1 F2'
_cell_length_a 3.9613
_cell_length_b 3.9613
_cell_length_c 6.3309
_cell_angle_alpha 90.00
_cell_angle_beta 90.00
_cell_angle_gamma 90.00
_space_group_name_H-M_alt 'P 4/m m m'
_space_group_IT_number 123
_space_group_name_Hall '-P 4 2'
loop_
_atom_site_label
_atom_site_fract_x
_atom_site_fract_y
_atom_site_fract_z
La1 0.0000 0.0000 0.0000
Si1 0.0000 0.0000 0.5000
Ni1 0.5000 0.5000 0.0000
F1 0.0000 0.5000 0.5000
```